(1)
A relaxed Pm3RuAu2 crystal. Source: the Alexandria database, functional PBE-GGA.

Summary:
For the density of states at the Fermi level, the calculation gives 0.668 states/eV/atom. For the total magnetization, the calculation gives 0.00 μB per formula unit.

Cell lengths 5.1256, 15.2732, 7.3274 Å; angles 90.00, 90.00, 90.00 degrees
Space group Cmmm (No. 65)
Unique sites:
Pm 0.0000 0.0000 0.2390 x4
Pm 0.0000 0.3284 0.2354 x8
Ru 0.0000 0.1686 0.0000 x4
Au 0.0000 0.1643 0.5000 x4
Au 0.0000 0.5000 0.0000 x2
Au 0.0000 0.5000 0.5000 x2

(2)
A relaxed Pm3RuAu2 crystal. Source: the Alexandria database, functional PBE-GGA.

Summary:
For the density of states at the Fermi level, the calculation gives 0.695 states/eV/atom. For the total magnetization, the calculation gives 0.00 μB per formula unit.

Cell lengths 3.5939, 3.5939, 11.0802 Å; angles 90.00, 90.00, 90.00 degrees
Space group P4/mmm (No. 123)
Unique sites:
Pm 0.0000 0.0000 0.0000 x1
Pm 0.0000 0.0000 0.3457 x2
Ru 0.5000 0.5000 0.5000 x1
Au 0.5000 0.5000 0.1708 x2

(3)
A relaxed Pm6RuAu2 crystal. Source: the Alexandria database, functional PBE-GGA.

Summary:
For the density of states at the Fermi level, the calculation gives 1.014 states/eV/atom. For the total magnetization, the calculation gives 0.00 μB per formula unit.

Cell lengths 6.8817, 7.5316, 12.2891 Å; angles 90.00, 122.04, 90.00 degrees
Space group P2_1/c (No. 14)
Unique sites:
Pm 0.1109 0.1868 0.4373 x4
Pm 0.2566 0.6827 0.4338 x4
Pm 0.3884 0.0296 0.2487 x4
Ru 0.5000 0.0000 0.5000 x2
Au 0.1859 0.1090 0.7397 x4

Number 1: E_tot -134.46 eV per cell. Number 2: E_tot -33.66 eV per cell. Number 3: E_tot -96.21 eV per cell.